(1)
A geometry-optimized PuScSe3 structure. Source: the Alexandria database, functional PBE.

Geometry as extended XYZ:
```
20
Lattice="-6.354 -0.437 2.388 3.006 -1.498 7.725 -1.693 9.349 -2.792" Properties=species:S:1:pos:R:3 pbc="T T T"
Sc -4.876 0.576 1.825
Pu -5.810 5.158 0.490
Se -1.523 0.971 7.715
Pu -1.891 7.657 1.688
Se 0.881 4.587 4.269
Se -5.922 2.827 3.052
Se 0.761 1.152 4.139
Se -2.426 2.779 5.311
Pu 0.769 2.255 6.830
Se -3.517 6.442 -0.394
Se -5.802 6.262 3.181
Se -2.614 4.634 2.010
Se -2.241 0.491 2.730
Se -2.799 6.922 4.591
Sc -4.113 4.508 4.251
Se -6.923 8.055 0.859
Sc -0.165 6.838 5.495
Se 1.882 -0.641 6.461
Pu -3.150 -0.244 5.632
Sc -0.928 2.905 3.069
```

Summary:
distance to the lowest polymorph of the same formula = 12.52 kJ/mol of atoms
uncorrected energy = -152.621 eV/cell
total magnetic moment = 20.000 μB/cell

=====

(2)
A geometry-optimized Pu2ScSe4 structure. Source: the Alexandria database, functional PBE.

Geometry as extended XYZ:
```
14
Lattice="-0.892 -1.827 3.324 6.574 -1.940 -1.585 4.893 10.705 7.196" Properties=species:S:1:pos:R:3 pbc="T T T"
Se 3.649 -1.168 2.621
Se 2.001 4.439 5.260
Pu 8.575 6.922 8.389
Pu 2.000 0.017 0.546
Se 9.130 4.367 7.133
Sc 5.821 0.536 1.857
Se 5.724 5.478 4.547
Pu 6.843 3.133 5.842
Pu 3.732 3.806 3.093
Se 4.851 1.461 4.388
Se 1.446 2.573 1.802
Sc 4.754 6.403 7.078
Se -0.446 -0.913 1.662
Se 6.926 8.108 6.314
```

Summary:
uncorrected energy = -118.431 eV/cell
total magnetic moment = 21.975 μB/cell

=====

(3)
A geometry-optimized PuSc2Se4 structure. Source: the Alexandria database, functional PBE.

Geometry as extended XYZ:
```
14
Lattice="-2.189 -1.075 3.058 -1.760 -3.903 -5.133 9.279 -8.834 3.537" Properties=species:S:1:pos:R:3 pbc="T T T"
Se 2.020 -2.674 0.506
Pu 0.133 -5.611 -1.877
Se 3.310 -11.138 0.955
Sc -0.153 -1.752 -0.725
Se -1.551 -3.981 -0.008
Se 0.909 -6.323 0.929
Sc 3.279 -5.019 0.583
Se 6.881 -9.832 1.470
Se 4.421 -7.490 0.532
Sc 2.051 -8.793 0.879
Se 3.545 -4.955 3.297
Pu 5.197 -8.202 3.339
Se -1.095 -0.537 1.529
Sc 5.482 -12.060 2.187
```

Summary:
uncorrected energy = -104.808 eV/cell
total magnetic moment = 11.242 μB/cell